Density functional theory data (PBE) for a relaxed CeMg4Pd15 crystal.

POSCAR file:
```
CeMg4Pd15
1.0
-0.3793 -3.7026 -1.5741
3.9462 -0.6503 0.5787
-3.8299 -7.2476 17.9709
Pd Mg Ce
15 4 1
Cartesian
-0.5036 -6.5045 10.2340 Pd
-2.1046 -5.4751 8.1984 Pd
-1.4507 -6.8042 16.3546 Pd
0.0582 -3.9489 9.2748 Pd
0.2407 -5.0960 6.7416 Pd
0.9956 -3.6674 3.1993 Pd
1.7835 -2.1764 -0.4977 Pd
1.5670 -1.0937 2.1950 Pd
-1.3559 -4.0583 4.6855 Pd
-0.5958 -2.6198 1.1186 Pd
-2.8533 -6.8918 11.7113 Pd
-1.2585 -7.9330 13.7762 Pd
0.8068 -2.5322 5.7619 Pd
-3.6134 -8.3303 15.2782 Pd
-0.6905 -5.3657 12.7877 Pd
-2.2917 -4.3367 10.7531 Mg
-3.0369 -5.7469 14.2500 Mg
-0.7930 -1.5006 3.7209 Mg
-1.5382 -2.9109 7.2178 Mg
0.0000 0.0000 0.0000 Ce
```

Output
Size of the total moment (μB/atom): 0.00
Formation energy (eV per atom): -0.545
SG: P4/mmm, No. 123
V (Å³/cell): 323

---

Density functional theory data (PBE) for a relaxed CeMg4Pd2 crystal.

POSCAR file:
```
CeMg4Pd2
1.0
-1.8082 -0.1558 3.8505
-2.2509 -3.4380 -1.1961
7.2515 -3.2230 3.2749
Ce Pd Mg
1 2 4
Cartesian
0.0000 0.0000 0.0000 Ce
4.2352 -4.2239 4.1709 Pd
-1.0428 -2.5929 1.7583 Pd
1.9234 -4.9859 3.0544 Mg
3.9469 -3.1841 1.7246 Mg
1.2690 -1.8310 2.8748 Mg
1.0537 -3.4770 0.3541 Mg
```

Output
Size of the total moment (μB/atom): 0.15
Formation energy (eV per atom): -0.393
SG: Cmmm, No. 65
V (Å³/cell): 151

---

Density functional theory data (PBE) for a relaxed CeMgPd crystal.

POSCAR file:
```
CeMgPd
1.0
-3.3246 0.1538 -0.0385
-0.1559 -3.3180 0.2123
1.6889 1.9671 5.8915
Ce Pd Mg
1 1 1
Cartesian
-0.0020 0.0147 0.2290 Ce
-1.7586 -1.4446 2.2220 Pd
-0.0311 0.2327 3.6143 Mg
```

Output
Size of the total moment (μB/atom): 0.43
Formation energy (eV per atom): -0.440
SG: I4mm, No. 107
V (Å³/cell): 66

---

Density functional theory data (PBE) for a relaxed CeMg9Pd3 crystal.

POSCAR file:
```
CeMg9Pd3
1.0
5.2029 -0.0589 2.1119
2.4391 6.7197 0.9901
-0.0435 -0.0295 7.5720
Mg Pd Ce
9 3 1
Cartesian
1.2196 3.3598 0.4950 Mg
4.2366 2.1512 4.4090 Mg
5.5498 5.2225 8.1437 Mg
3.1891 1.3793 7.1855 Mg
6.7338 4.4507 5.4227 Mg
3.3619 4.4801 6.2650 Mg
2.0487 1.4087 2.5303 Mg
4.4093 5.2520 3.4885 Mg
0.8646 2.1806 5.2513 Mg
3.8210 3.3304 1.5510 Pd
2.5797 -0.0442 4.8420 Pd
-0.0218 -0.0147 3.7860 Pd
0.0000 0.0000 0.0000 Ce
```

Output
Size of the total moment (μB/atom): 0.10
Formation energy (eV per atom): -0.359
SG: C2/m, No. 12
V (Å³/cell): 266

---

Density functional theory data (PBE) for a relaxed CeMgPd crystal.

POSCAR file:
```
CeMgPd
1.0
-3.2481 -1.1207 0.3329
1.4800 -3.4198 2.9283
-1.2777 4.2197 1.7386
Ce Mg Pd
1 1 1
Cartesian
-1.6047 -1.6205 2.7537 Ce
-0.5395 -0.1861 0.0553 Mg
-0.9016 1.4858 2.1908 Pd
```

Output
Size of the total moment (μB/atom): 0.31
Formation energy (eV per atom): -0.375
SG: P-6m2, No. 187
V (Å³/cell): 67

---

Density functional theory data (PBE) for a relaxed CeMg3Pd4 crystal.

POSCAR file:
```
CeMg3Pd4
1.0
-1.2656 -5.5689 0.4893
3.9964 1.3977 3.8637
-4.7197 3.1199 0.9188
Pd Mg Ce
4 3 1
Cartesian
-0.6327 -2.7840 0.2446 Pd
-0.9946 -0.5257 2.6363 Pd
1.9979 0.6988 1.9316 Pd
-2.3595 1.5597 0.4593 Pd
1.3654 -2.0856 2.1765 Mg
-2.9927 -1.2245 0.7041 Mg
-0.3616 2.2588 2.3913 Mg
0.0000 0.0000 0.0000 Ce
```

Output
Size of the total moment (μB/atom): 0.08
Formation energy (eV per atom): -0.657
SG: Im-3m, No. 229
V (Å³/cell): 145

---

Density functional theory data (PBE) for a relaxed CeMg2Pd9 crystal.

POSCAR file:
```
CeMg2Pd9
1.0
4.0858 0.0000 0.0000
0.0000 4.0858 0.0000
0.0000 0.0000 11.8161
Pd Mg Ce
9 2 1
Cartesian
2.0429 2.0429 7.8255 Pd
2.0429 0.0000 9.7539 Pd
2.0429 0.0000 5.9081 Pd
2.0429 2.0429 3.9907 Pd
0.0000 2.0429 9.7539 Pd
0.0000 2.0429 5.9081 Pd
2.0429 0.0000 2.0622 Pd
0.0000 2.0429 2.0622 Pd
2.0429 2.0429 0.0000 Pd
0.0000 0.0000 7.7848 Mg
0.0000 0.0000 4.0313 Mg
0.0000 0.0000 0.0000 Ce
```

Output
Size of the total moment (μB/atom): 0.00
Formation energy (eV per atom): -0.595
SG: P4/mmm, No. 123
V (Å³/cell): 197

---

Density functional theory data (PBE) for a relaxed CeMg9Pd2 crystal.

POSCAR file:
```
CeMg9Pd2
1.0
-5.4622 2.3288 -4.6824
-2.0019 -5.8445 -6.6777
-8.4065 -2.4195 2.4969
Mg Ce Pd
18 2 4
Cartesian
-10.1499 -3.4340 -2.8507 Mg
-3.1004 -2.6005 -3.0123 Mg
-10.5198 -4.4634 -7.4963 Mg
-3.6872 -3.4407 -5.7988 Mg
-7.6155 -4.7893 -6.4811 Mg
-6.4099 -2.2074 -6.6034 Mg
-4.8927 -6.0225 -5.6765 Mg
-4.6394 -0.6197 -4.8261 Mg
-9.3008 -2.3855 -5.6022 Mg
-6.2004 0.2151 -2.5899 Mg
-12.0809 -3.6286 -5.2601 Mg
-7.5575 -1.3710 -0.2546 Mg
-8.9443 -0.8521 -2.9730 Mg
0.0000 0.0000 0.0000 Mg
-4.6615 -1.7657 -0.7761 Mg
-8.7630 -3.9528 -0.1324 Mg
-7.6283 -7.0209 -4.5230 Mg
-9.1893 -6.1861 -2.2868 Mg
-2.7311 1.1644 -2.3412 Ce
-6.5697 -3.5498 -3.2610 Ce
-9.8546 -5.3247 -4.8915 Pd
-11.5848 -1.2381 -3.8939 Pd
-7.3815 -0.0283 -5.1423 Pd
-8.3824 -2.9506 -8.4812 Pd
```

Output
Size of the total moment (μB/atom): 0.11
Formation energy (eV per atom): -0.262
SG: I4_1/amd, No. 141
V (Å³/cell): 518

---

Density functional theory data (PBE) for a relaxed CeMg5Pd4 crystal.

POSCAR file:
```
CeMg5Pd4
1.0
-0.5476 -2.7623 1.5333
2.7208 -1.2033 -1.1961
8.8173 6.0226 13.9986
Mg Pd Ce
5 4 1
Cartesian
2.3743 -1.1032 2.2131 Mg
7.0635 2.0997 9.6578 Mg
3.9270 -0.0427 4.6781 Mg
5.4953 1.0285 7.1679 Mg
8.6162 3.1602 12.1228 Mg
5.1923 3.5466 8.2435 Pd
6.7645 4.6204 10.7395 Pd
2.0528 1.4021 3.2591 Pd
3.6250 2.4760 5.7551 Pd
0.0000 0.0000 0.0000 Ce
```

Output
Size of the total moment (μB/atom): 0.07
Formation energy (eV per atom): -0.586
SG: P4/mmm, No. 123
V (Å³/cell): 181

---

Density functional theory data (PBE) for a relaxed CeMg5Pd2 crystal.

POSCAR file:
```
CeMg5Pd2
1.0
4.0250 0.0006 0.9664
1.7332 6.4281 1.6427
0.4862 -0.0276 6.8400
Mg Pd Ce
5 2 1
Cartesian
3.0650 5.4156 4.9614 Mg
3.1794 0.9854 4.4876 Mg
3.6408 3.3745 2.5642 Mg
1.1097 3.2002 4.2413 Mg
2.6035 3.0265 6.8848 Mg
4.6417 4.9482 7.2599 Pd
1.6026 1.4528 2.1891 Pd
0.0000 0.0000 0.0000 Ce
```

Output
Size of the total moment (μB/atom): 0.11
Formation energy (eV per atom): -0.406
SG: Immm, No. 71
V (Å³/cell): 174

---

Density functional theory data (PBE) for a relaxed CeMg11Pd crystal.

POSCAR file:
```
CeMg11Pd
1.0
5.1930 -0.0429 2.1635
2.5008 7.1995 1.0419
-0.1866 -0.0215 7.7621
Mg Pd Ce
11 1 1
Cartesian
4.4775 5.5885 3.4731 Mg
3.3319 4.5750 6.5716 Mg
4.1752 2.5601 4.3957 Mg
5.4324 5.5671 8.4953 Mg
2.5032 -0.0322 4.9628 Mg
1.6326 4.5965 3.3364 Mg
-0.0933 -0.0107 3.8810 Mg
3.0295 1.5466 7.4943 Mg
1.2504 3.5997 0.5209 Mg
5.8745 2.5386 7.6309 Mg
2.0747 1.5680 2.4721 Mg
3.8469 3.5783 1.6027 Pd
0.0000 0.0000 0.0000 Ce
```

Output
Size of the total moment (μB/atom): 0.08
Formation energy (eV per atom): -0.135
SG: C2/m, No. 12
V (Å³/cell): 294

---

Density functional theory data (PBE) for a relaxed CeMgPd crystal.

POSCAR file:
```
CeMgPd
1.0
-0.9138 -4.2465 2.0148
2.6882 -3.8042 -1.1089
3.0278 -1.8167 3.2342
Mg Ce Pd
1 1 1
Cartesian
0.0000 0.0000 0.0000 Mg
2.4011 -4.9337 2.0700 Ce
1.2005 -2.4668 1.0350 Pd
```

Output
Size of the total moment (μB/atom): 0.37
Formation energy (eV per atom): -0.372
SG: F-43m, No. 216
V (Å³/cell): 78

---

Density functional theory data (PBE) for a relaxed CeMg3Pd crystal.

POSCAR file:
```
CeMg3Pd
1.0
5.5255 0.0000 0.0000
0.0000 5.5255 0.0000
-2.7627 -2.7627 9.1238
Pd Mg Ce
2 6 2
Cartesian
0.0000 2.7627 4.5619 Pd
0.0000 0.0000 0.0000 Pd
0.0000 1.3996 2.3659 Mg
0.0000 0.0000 5.2711 Mg
-1.3632 2.7627 6.7579 Mg
0.0000 4.1259 2.3659 Mg
2.7627 2.7627 3.8527 Mg
1.3632 2.7627 6.7579 Mg
2.7627 0.0000 8.2165 Ce
2.7627 0.0000 0.9073 Ce
```

Output
Size of the total moment (μB/atom): 0.27
Formation energy (eV per atom): -0.057
SG: I-4m2, No. 119
V (Å³/cell): 279

---

Density functional theory data (PBE) for a relaxed Ce3Mg4Pd4 crystal.

POSCAR file:
```
Ce3Mg4Pd4
1.0
-1.8453 -3.5184 0.1245
7.2349 -3.7709 0.6678
-3.1248 4.1325 7.0173
Ce Mg Pd
3 4 4
Cartesian
2.3601 -3.2649 6.1667 Ce
-0.0953 0.1081 1.6429 Ce
3.6174 -1.8855 0.3339 Ce
-1.6521 1.0322 4.6834 Mg
3.9169 -4.1890 3.1262 Mg
1.0941 -0.3992 4.9369 Mg
1.1707 -2.7577 2.8727 Mg
-1.1469 -1.5048 3.9287 Pd
0.5846 -2.5448 0.2014 Pd
4.8050 -4.7445 0.5909 Pd
3.4117 -1.6521 3.8809 Pd
```

Output
Size of the total moment (μB/atom): 0.22
Formation energy (eV per atom): -0.562
SG: Immm, No. 71
V (Å³/cell): 242

---

Density functional theory data (PBE) for a relaxed CeMg4Pd2 crystal.

POSCAR file:
```
CeMg4Pd2
1.0
4.5511 0.0000 0.0000
0.0000 8.0627 0.0000
0.0000 0.0000 8.0627
Mg Pd Ce
8 4 2
Cartesian
0.0000 0.6872 2.7073 Mg
2.2756 1.3240 4.7185 Mg
2.2756 3.3442 6.7387 Mg
2.2756 6.7387 3.3442 Mg
2.2756 4.7185 1.3240 Mg
0.0000 5.3554 7.3755 Mg
0.0000 2.7073 0.6872 Mg
0.0000 7.3755 5.3554 Mg
0.0000 1.9276 6.1351 Pd
2.2756 5.9590 5.9590 Pd
2.2756 2.1037 2.1037 Pd
0.0000 6.1351 1.9276 Pd
0.0000 4.0313 4.0313 Ce
2.2756 0.0000 0.0000 Ce
```

Output
Size of the total moment (μB/atom): 0.16
Formation energy (eV per atom): -0.463
SG: P4_2/mnm, No. 136
V (Å³/cell): 296

---

Density functional theory data (PBE) for a relaxed Ce2Mg3Pd4 crystal.

POSCAR file:
```
Ce2Mg3Pd4
1.0
5.8448 0.0000 0.0000
0.0000 7.3299 0.0000
-2.9224 0.0000 8.5485
Mg Pd Ce
6 8 4
Cartesian
-1.4612 5.4975 4.5745 Mg
0.0000 0.0000 0.0000 Mg
1.4612 5.4975 4.5745 Mg
1.4612 1.8325 3.9739 Mg
4.3836 1.8325 3.9739 Mg
2.9224 3.6650 0.0000 Mg
1.4612 1.8325 1.2463 Pd
0.0000 7.0810 2.8088 Pd
0.0000 3.4161 5.7397 Pd
4.3836 1.8325 1.2463 Pd
2.9224 0.2489 5.7397 Pd
-1.4612 5.4975 7.3021 Pd
2.9224 3.9139 2.8088 Pd
1.4612 5.4975 7.3021 Pd
2.9224 6.7309 1.7715 Ce
0.0000 0.5991 6.7770 Ce
2.9224 3.0659 6.7770 Ce
0.0000 4.2640 1.7715 Ce
```

Output
Size of the total moment (μB/atom): 0.20
Formation energy (eV per atom): -0.611
SG: Cmce, No. 64
V (Å³/cell): 366

---

Density functional theory data (PBE) for a relaxed CeMgPd crystal.

POSCAR file:
```
CeMgPd
1.0
3.0785 0.0000 0.0000
-1.5393 5.5147 -0.2606
0.0000 -3.0037 7.6013
Pd Mg Ce
2 2 2
Cartesian
1.5393 -1.5587 5.6830 Pd
0.0000 4.0697 1.6577 Pd
0.0000 -0.0804 3.8375 Mg
1.5393 2.5914 3.5032 Mg
0.0000 1.2229 0.7208 Ce
1.5393 1.2881 6.6200 Ce
```

Output
Size of the total moment (μB/atom): 0.25
Formation energy (eV per atom): -0.402
SG: C2/m, No. 12
V (Å³/cell): 127

---

Density functional theory data (PBE) for a relaxed CeMgPd crystal.

POSCAR file:
```
CeMgPd
1.0
4.1556 0.0000 0.0000
0.0000 7.5723 -0.0261
0.0000 -0.0225 12.9667
Mg Pd Ce
6 6 6
Cartesian
3.1167 1.0101 7.0018 Mg
1.0389 6.5396 5.9388 Mg
1.0389 0.0116 1.0912 Mg
1.0389 2.7963 2.6042 Mg
3.1167 4.7534 10.3364 Mg
3.1167 7.5382 11.8494 Mg
3.1167 1.8713 1.0600 Pd
1.0389 1.8683 5.3714 Pd
1.0389 5.6628 3.2044 Pd
1.0389 5.6785 11.8806 Pd
3.1167 5.6815 7.5692 Pd
3.1167 1.8870 9.7362 Pd
1.0389 7.2134 9.2272 Ce
3.1167 0.3363 3.7133 Ce
1.0389 3.4579 8.0788 Ce
3.1167 4.0918 4.8618 Ce
3.1167 4.9770 1.0524 Ce
1.0389 2.5727 11.8882 Ce
```

Output
Size of the total moment (μB/atom): 0.31
Formation energy (eV per atom): -0.544
SG: P2_1/m, No. 11
V (Å³/cell): 408

---

Density functional theory data (PBE) for a relaxed Ce2MgPd8 crystal.

POSCAR file:
```
Ce2MgPd8
1.0
-0.7400 -3.3425 3.2090
5.9220 -0.2470 1.1084
-3.3141 6.7461 2.8318
Pd Ce Mg
8 2 1
Cartesian
-0.2542 1.7439 1.7579 Pd
0.8827 3.5145 3.8643 Pd
2.1221 1.4126 5.3914 Pd
-2.5469 3.3401 6.3223 Pd
3.7948 -0.4737 3.8124 Pd
4.4147 -0.1835 0.8269 Pd
-1.9270 3.6302 3.3368 Pd
0.9852 -0.3580 3.2849 Pd
2.6954 1.6951 2.3871 Ce
-0.8275 1.4615 4.7621 Ce
-0.3700 -1.6713 1.6045 Mg
```

Output
Size of the total moment (μB/atom): 0.05
Formation energy (eV per atom): -0.572
SG: Immm, No. 71
V (Å³/cell): 200

---

Density functional theory data (PBE) for a relaxed Ce3MgPd12 crystal.

POSCAR file:
```
Ce3MgPd12
1.0
-3.0017 2.2365 -1.7480
-2.8192 -2.6455 1.4563
-1.3038 8.8663 13.5826
Pd Mg Ce
12 1 3
Cartesian
-1.9861 4.4184 4.1816 Pd
-2.3194 6.6843 7.6529 Pd
-1.6567 2.1778 0.7492 Pd
-2.6488 8.9249 11.0853 Pd
-3.5623 4.2286 6.6454 Pd
-2.9104 -0.2045 -0.1459 Pd
-1.8949 1.9774 5.7838 Pd
-2.2281 4.2433 9.2551 Pd
-1.5654 -0.2632 2.3513 Pd
-2.5576 6.4839 12.6875 Pd
-3.8933 6.4790 10.0929 Pd
-3.2314 1.9782 3.1979 Pd
0.0000 0.0000 0.0000 Mg
-0.9909 6.7384 10.3228 Ce
-0.3129 2.1278 3.2597 Ce
-0.6519 4.4331 6.7913 Ce
```

Output
Size of the total moment (μB/atom): 0.04
Formation energy (eV per atom): -0.755
SG: P4/mmm, No. 123
V (Å³/cell): 278